Record 1
Density functional theory data (PBE) for a geometry-optimized TbTcPt structure.

Results
Formation energy from the elements in eV/atom: 0.0557

Cell and atoms, written as CIF:
```
data_TbTcPt
_symmetry_space_group_name_H-M 'F -4 3 m'
_symmetry_Int_Tables_number 216
_symmetry_space_group_name_Hall 'F -4 2 3'
_cell_length_a 6.461
_cell_length_b 6.461
_cell_length_c 6.461
_cell_angle_alpha 90.00
_cell_angle_beta 90.00
_cell_angle_gamma 90.00
loop_
_atom_site_label
_atom_site_type_symbol
_atom_site_fract_x
_atom_site_fract_y
_atom_site_fract_z
Tb1 Tb 0.000 0.000 0.000
Tc1 Tc 0.000 0.000 0.500
Pt1 Pt 0.250 0.250 0.250
```



Record 2
Density functional theory data (PBE) for a geometry-optimized TbTlTe3Pt structure.

Cell and atoms, written as CIF:
```
data_TbTlTe3Pt
_symmetry_space_group_name_H-M 'C m c m'
_symmetry_Int_Tables_number 63
_symmetry_space_group_name_Hall '-C 2c 2'
_cell_length_a 4.142
_cell_length_b 16.682
_cell_length_c 10.637
_cell_angle_alpha 90.00
_cell_angle_beta 90.00
_cell_angle_gamma 90.00
loop_
_atom_site_label
_atom_site_type_symbol
_atom_site_fract_x
_atom_site_fract_y
_atom_site_fract_z
Tb1 Tb 0.000 0.000 0.000
Tl1 Tl 0.000 0.243 0.250
Te1 Te 0.000 0.088 0.750
Te2 Te 0.000 0.370 0.574
Pt1 Pt 0.000 0.484 0.750
```



Listing energy for the structures above in their given order: -6.96; -4.47 eV/atom.